# 1
A plane-wave DFT calculation with PBE was carried out for an optimized crystal structure of AcTbMg6.

The raw total energy comes out at -18.837 eV for the cell shown. As for the energy of formation: -0.0663 eV per atom. The calculation puts the density of states at the Fermi level at 4.09 states/eV per cell. The distance to the lowest polymorph of the same formula comes out at 0 meV/atom.

Lattice parameters (Å, degrees): 5.3279 5.3279 7.5151 90.00 90.00 90.00
With the nearest neighbours (Å) after each atom.
Space group P4/mmm (No. 123)
One atom of each set of equivalent atoms:
Ac 0.0000 0.0000 0.0000  8 Mg 3.33
Tb 0.5000 0.5000 0.5000  8 Mg 3.19
Mg 0.0000 0.0000 0.5000  8 Mg 3.19
Mg 0.0000 0.5000 0.2669  2 Tb 3.19, 5 Mg 3.19-3.50, 2 Ac 3.33
Mg 0.5000 0.5000 0.0000  8 Mg 3.33


# 2
A plane-wave DFT calculation with PBE was carried out for an optimized crystal structure of KCdRu3.

The raw total energy comes out at -16.489 eV for the cell shown. As for the energy of formation: 2.6701 eV per atom. The calculation puts the density of states at the Fermi level at 4.61 states/eV per cell. The distance to the lowest polymorph of the same formula comes out at 642 meV/atom.

Lattice parameters (Å, degrees): 4.6921 4.6921 4.6921 90.00 90.00 90.00
With the nearest neighbours (Å) after each atom.
Space group Pm-3m (No. 221)
One atom of each set of equivalent atoms:
K 0.0000 0.0000 0.0000  6 Ru 2.35
Cd 0.5000 0.5000 0.5000  12 Ru 3.32
Ru 0.0000 0.0000 0.5000  2 K 2.35


# 3
A plane-wave DFT calculation with PBE was carried out for an optimized crystal structure of La2ScAs2.

The raw total energy comes out at -62.931 eV for the cell shown. As for the energy of formation: -1.1960 eV per atom. The calculation puts the density of states at the Fermi level at 15.51 states/eV per cell.

Lattice parameters (Å, degrees): 7.8307 7.8307 4.2392 90.00 90.00 90.00
With the nearest neighbours (Å) after each atom.
Space group P4/mbm (No. 127)
One atom of each set of equivalent atoms:
La 0.1520 0.3480 0.0000  6 As 2.98-3.23
Sc 0.0000 0.0000 0.5000  4 As 2.95
As 0.1585 0.6585 0.5000  2 Sc 2.95, 6 La 2.98-3.23


# 4
A plane-wave DFT calculation with PBE was carried out for an optimized crystal structure of Dy7Y4Mg.

The raw total energy comes out at -59.387 eV for the cell shown. As for the energy of formation: 0.0232 eV per atom. The calculation puts the density of states at the Fermi level at 17.70 states/eV per cell. The distance to the lowest polymorph of the same formula comes out at 0 meV/atom.

Lattice parameters (Å, degrees): 3.5491 3.5491 34.3611 90.00 90.00 120.00
With the nearest neighbours (Å) after each atom.
Space group P-3m1 (No. 164)
One atom of each set of equivalent atoms:
Dy 0.0000 0.0000 0.0000  6 Dy 3.55, 6 Y 3.56
Dy 0.0000 0.0000 0.2532  9 Dy 3.54-3.55, 3 Y 3.56
Dy 0.3333 0.6667 0.1693  9 Dy 3.54-3.55, 3 Y 3.56
Dy 0.3333 0.6667 0.4219  3 Mg 3.38, 3 Y 3.54, 6 Dy 3.55
Y 0.3333 0.6667 0.6620  6 Dy 3.54-3.56, 6 Y 3.55
Y 0.3333 0.6667 0.9154  6 Y 3.55, 6 Dy 3.56
Mg 0.0000 0.0000 0.5000  6 Dy 3.38, 6 Mg 3.55


# 5
A plane-wave DFT calculation with PBE was carried out for an optimized crystal structure of NdAgSn2.

The raw total energy comes out at -35.084 eV for the cell shown. As for the energy of formation: -0.4794 eV per atom. The calculation puts the density of states at the Fermi level at 3.88 states/eV per cell.

Lattice parameters (Å, degrees): 4.5298 4.5298 9.9217 90.00 90.00 90.00
With the nearest neighbours (Å) after each atom.
Space group P4/nmm (No. 129, origin choice 2)
One atom of each set of equivalent atoms:
Nd 0.2500 0.2500 0.2447  8 Sn 3.25-3.40, 4 Ag 3.32
Ag 0.2500 0.7500 0.0000  4 Sn 2.92, 4 Ag 3.20
Sn 0.2500 0.2500 0.8137  4 Ag 2.92, 4 Nd 3.25
Sn 0.2500 0.7500 0.5000  4 Sn 3.20, 4 Nd 3.40


# 6
A plane-wave DFT calculation with PBE was carried out for an optimized crystal structure of MgZr2Si.

The raw total energy comes out at -49.077 eV for the cell shown. The calculation puts the density of states at the Fermi level at 6.28 states/eV per cell. As for the uncorrected formation energy: -0.1061 eV/atom.

Lattice parameters (Å, degrees): 4.2603 4.7572 8.0795 90.00 90.00 90.00
With the nearest neighbours (Å) after each atom.
Space group Cmm2 (No. 35)
One atom of each set of equivalent atoms:
Mg 0.0000 0.0000 0.0000  4 Si 2.73-2.93
Zr 0.0000 0.0000 0.4278  4 Si 2.76-2.95
Zr 0.0000 0.5000 0.7146  4 Mg 3.14-3.31, 8 Zr 3.15-3.32
Si 0.0000 0.5000 0.2109  4 Mg 2.73-2.93, 4 Zr 2.76-2.95


# 7
A plane-wave DFT calculation with PBE was carried out for an optimized crystal structure of VCrCu2Ag.

The raw total energy comes out at -20.476 eV for the cell shown. As for the energy of formation: 1.8620 eV per atom. The calculation puts the density of states at the Fermi level at 8.09 states/eV per cell.

Lattice parameters (Å, degrees): 4.5476 4.5476 4.6815 90.00 90.00 90.00
With the nearest neighbours (Å) after each atom.
Space group P4/mmm (No. 123)
One atom of each set of equivalent atoms:
V 0.0000 0.0000 0.0000  4 Cr 3.22, 8 Cu 3.26
Cr 0.5000 0.5000 0.0000  2 Ag 2.34
Cu 0.0000 0.5000 0.5000  2 Ag 2.27
Ag 0.5000 0.5000 0.5000  4 Cu 2.27, 2 Cr 2.34


# 8
A plane-wave DFT calculation with PBE was carried out for an optimized crystal structure of HfSnSb3.

The raw total energy comes out at -20.913 eV for the cell shown. The calculation puts the density of states at the Fermi level at 5.59 states/eV per cell. As for the uncorrected formation energy: 1.0820 eV/atom. The distance to the lowest polymorph of the same formula comes out at 789 meV/atom.

Lattice parameters (Å, degrees): 5.4865 5.4865 5.4865 90.00 90.00 90.00
With the nearest neighbours (Å) after each atom.
Space group Pm-3m (No. 221)
One atom of each set of equivalent atoms:
Hf 0.0000 0.0000 0.0000  12 Sb 3.88
Sn 0.5000 0.5000 0.5000  6 Sb 2.74
Sb 0.0000 0.5000 0.5000  2 Sn 2.74


# 9
A plane-wave DFT calculation with PBE was carried out for an optimized crystal structure of Mg3CdIn12.

The raw total energy comes out at -38.874 eV for the cell shown. As for the energy of formation: -0.0196 eV per atom. The calculation puts the density of states at the Fermi level at 6.68 states/eV per cell.

Lattice parameters (Å, degrees): 4.7325 4.7325 18.0751 90.00 90.00 90.00
With the nearest neighbours (Å) after each atom.
Space group P4/mmm (No. 123)
One atom of each set of equivalent atoms:
Mg 0.0000 0.0000 0.0000  12 In 3.26-3.35
Mg 0.0000 0.0000 0.2481  12 In 3.26-3.35
Cd 0.0000 0.0000 0.5000  12 In 3.31-3.35
In 0.0000 0.5000 0.1240  8 In 3.25-3.35, 4 Mg 3.26
In 0.0000 0.5000 0.3719  2 Mg 3.26, 8 In 3.27-3.35, 2 Cd 3.31
In 0.5000 0.5000 0.0000  8 In 3.26, 4 Mg 3.35
In 0.5000 0.5000 0.2473  8 In 3.25-3.27, 4 Mg 3.35
In 0.5000 0.5000 0.5000  8 In 3.31, 4 Cd 3.35


# 10
A plane-wave DFT calculation with PBE was carried out for an optimized crystal structure of Li2UAsO6.

The raw total energy comes out at -70.124 eV for the cell shown. The calculation puts the density of states at the Fermi level at 1.52 states/eV per cell. As for the uncorrected formation energy: -2.0609 eV/atom.

Lattice parameters (Å, degrees): 5.5339 5.5339 4.3169 90.00 90.00 90.00
With the nearest neighbours (Å) after each atom.
Space group P4mm (No. 99)
One atom of each set of equivalent atoms:
Li 0.0000 0.5000 0.0000  4 O 2.19
U 0.0000 0.0000 0.7119  6 O 2.08-2.23
As 0.5000 0.5000 0.6667  5 O 1.67-1.86
O 0.0000 0.0000 0.2294  2 U 2.08-2.23
O 0.2708 0.2708 0.7773  1 As 1.86
O 0.5000 0.5000 0.2788  1 As 1.67


# 11
A plane-wave DFT calculation with PBE was carried out for an optimized crystal structure of RbPH2.

The raw total energy comes out at -51.527 eV for the cell shown. The calculation puts the density of states at the Fermi level at 0.00 states/eV per cell. The distance to the lowest polymorph of the same formula comes out at 344 meV/atom.

Lattice parameters (Å, degrees): 4.9472 4.9472 10.5551 90.00 90.00 90.00
With the nearest neighbours (Å) after each atom.
Space group I4_1/amd (No. 141, origin choice 2)
One atom of each set of equivalent atoms:
Rb 0.0000 0.2500 0.3750  8 H 3.06
P 0.0000 0.2500 0.8750  4 H 1.81
H 0.0000 0.0000 0.0000  2 P 1.81


# 12
A plane-wave DFT calculation with PBE was carried out for an optimized crystal structure of LiSmNb4N8.

The raw total energy comes out at -374.250 eV for the cell shown. As for the uncorrected formation energy: -0.8025 eV/atom.

Lattice parameters (Å, degrees): 6.3884 6.3884 15.7452 90.00 90.00 120.00
With the nearest neighbours (Å) after each atom.
Space group R3m (No. 160, hexagonal axes)
One atom of each set of equivalent atoms:
Li 0.0000 0.0000 0.0000  6 N 2.21-2.36
Sm 0.0000 0.0000 0.3817  4 N 2.24-2.26
Nb 0.0000 0.0000 0.6242  4 N 1.96-2.15
Nb 0.1727 0.3454 0.8309  4 N 1.98-2.21
N 0.0000 0.0000 0.2379  3 Nb 2.12, 1 Sm 2.26
N 0.0000 0.0000 0.7605  4 Nb 2.15-2.21
N 0.0068 0.5034 0.2432  1 Nb 1.96
N 0.0469 0.5234 0.7647  2 Nb 1.98, 1 Li 2.21


Among the records above, which one has the lowest raw total energy? LiSmNb4N8


Which formula does entry 6 have? MgZr2Si


Look up the raw total energy of the tenth one. -70.124 eV for the cell shown


The lowest raw total energy belongs to which entry? LiSmNb4N8